Entry 1:
This record from Alexandria describes a geometry-optimized YHoCoPt structure. The functional is GGA-PBE.

a b c (Å): 6.8520 6.8520 6.8520
angles (deg): 90.00 90.00 90.00
Closest atoms and distances in Å follow each position.
Space group F-43m (No. 216)
Symmetry-distinct sites (fractional):
Y (0.0000, 0.0000, 0.0000) x4  4 Co 2.97, 4 Pt 2.97
Ho (0.0000, 0.0000, 0.5000) x4  4 Co 2.97, 4 Pt 2.97
Co (0.2500, 0.2500, 0.7500) x4  4 Ho 2.97, 4 Y 2.97
Pt (0.2500, 0.2500, 0.2500) x4  4 Ho 2.97, 4 Y 2.97

Its crystal system is cubic. The calculation puts the calculated volume at 20.106 Å³ per atom. The formation energy comes out at -0.67 eV per atom. The value obtained for the total magnetization is 1.8 Bohr magnetons per cell.

Entry 2:
This record from Alexandria describes a geometry-optimized HoZrCoPt structure. The functional is GGA-PBE.

a b c (Å): 6.6986 6.6986 6.6986
angles (deg): 90.00 90.00 90.00
Closest atoms and distances in Å follow each position.
Space group F-43m (No. 216)
Symmetry-distinct sites (fractional):
Ho (0.0000, 0.0000, 0.0000) x4  4 Co 2.90, 4 Pt 2.90
Zr (0.0000, 0.0000, 0.5000) x4  4 Co 2.90, 4 Pt 2.90
Co (0.2500, 0.2500, 0.2500) x4  4 Zr 2.90, 4 Ho 2.90
Pt (0.2500, 0.2500, 0.7500) x4  4 Zr 2.90, 4 Ho 2.90

Its crystal system is cubic. The calculation puts the calculated volume at 18.786 Å³ per atom. The formation energy comes out at -0.60 eV per atom. The value obtained for the total magnetization is 2.8 Bohr magnetons per cell.

Entry 3:
This record from Alexandria describes a geometry-optimized Ho2PuCo3 structure. The functional is GGA-PBE.

a b c (Å): 5.5450 5.5450 7.9205
angles (deg): 90.00 90.00 120.00
Closest atoms and distances in Å follow each position.
Space group P6_3/mmc (No. 194)
Symmetry-distinct sites (fractional):
Ho (0.3333, 0.6667, 0.0613) x4  9 Co 2.88-3.15, 1 Ho 2.99
Pu (0.0000, 0.0000, 0.0000) x2  6 Co 2.62
Co (0.1785, 0.3571, 0.7500) x6  2 Co 2.58, 2 Pu 2.62, 2 Ho 2.88

Its crystal system is hexagonal. The calculation puts the calculated volume at 17.576 Å³ per atom. The formation energy comes out at -0.11 eV per atom. The value obtained for the total magnetization is 7.3 Bohr magnetons per cell.

Entry 4:
This record from Alexandria describes a geometry-optimized HoPuCo structure. The functional is GGA-PBE.

a b c (Å): 6.8028 3.3448 10.1280
angles (deg): 90.00 90.00 90.00
Closest atoms and distances in Å follow each position.
Space group Pnma (No. 62)
Symmetry-distinct sites (fractional):
Ho (0.1058, 0.2500, 0.1234) x4  4 Co 2.71-2.73
Pu (0.0779, 0.2500, 0.4392) x4  2 Pu 2.33
Co (0.1625, 0.2500, 0.7682) x4  4 Ho 2.71-2.73, 2 Pu 2.99

Its crystal system is orthorhombic. The calculation puts the calculated volume at 19.204 Å³ per atom. The formation energy comes out at 0.14 eV per atom. The value obtained for the total magnetization is 2.6 Bohr magnetons per cell.

Entry 5:
This record from Alexandria describes a geometry-optimized HoPuCo2 structure. The functional is GGA-PBE.

a b c (Å): 4.7020 4.7020 3.2917
angles (deg): 90.00 90.00 90.00
Closest atoms and distances in Å follow each position.
Space group P4/mmm (No. 123)
Symmetry-distinct sites (fractional):
Ho (0.0000, 0.0000, 0.0000) x1  8 Co 2.87
Pu (0.5000, 0.5000, 0.0000) x1  8 Co 2.87
Co (0.0000, 0.5000, 0.5000) x2  4 Pu 2.87, 4 Ho 2.87

Its crystal system is tetragonal. The calculation puts the calculated volume at 18.194 Å³ per atom. The formation energy comes out at -0.04 eV per atom. The value obtained for the total magnetization is 3.9 Bohr magnetons per cell.

Entry 6:
This record from Alexandria describes a geometry-optimized HoPuCo2 structure. The functional is GGA-PBE.

a b c (Å): 4.1918 4.1918 14.8005
angles (deg): 90.00 90.00 120.00
Closest atoms and distances in Å follow each position.
Space group R-3m (No. 166, hexagonal axes)
Symmetry-distinct sites (fractional):
Ho (0.0000, 0.0000, 0.0000) x3  8 Co 3.02-3.12
Pu (0.0000, 0.0000, 0.5000) x3  6 Co 2.51
Co (0.0000, 0.0000, 0.2110) x6  3 Pu 2.51, 3 Co 2.75

Its crystal system is trigonal. The calculation puts the calculated volume at 18.768 Å³ per atom. The formation energy comes out at -0.11 eV per atom. The value obtained for the total magnetization is 10.8 Bohr magnetons per cell.

> Which of these has the lowest total magnetization?

YHoCoPt

> Which value of total magnetization does entry 4 give?

2.6 Bohr magnetons per cell

> Among the records above, which one has the lowest total magnetization?

YHoCoPt